P) # GdY2Ga (PBE, relaxed)
data_GdY2Ga
_space_group_name_H-M_alt 'C m c m'
_space_group_IT_number 63
_space_group_name_Hall '-C 2c 2'
_cell_length_a 6.863
_cell_length_b 11.837
_cell_length_c 5.242
_cell_angle_alpha 90.00
_cell_angle_beta 90.00
_cell_angle_gamma 90.00
loop_
_atom_site_label
_atom_site_fract_x
_atom_site_fract_y
_atom_site_fract_z
Gd1 0.000 0.177 0.250
Y1 0.237 0.411 0.250
Ga1 0.000 0.335 0.750
# - Total magnetic moment: 0.04 Bohr magnetons per cell


Q) # GdY2Ga (PBE, relaxed)
data_GdY2Ga
_space_group_name_H-M_alt 'A m a 2'
_space_group_IT_number 40
_space_group_name_Hall 'A 2 -2a'
_cell_length_a 4.894
_cell_length_b 10.635
_cell_length_c 8.496
_cell_angle_alpha 90.00
_cell_angle_beta 90.00
_cell_angle_gamma 90.00
loop_
_atom_site_label
_atom_site_fract_x
_atom_site_fract_y
_atom_site_fract_z
Gd1 0.250 0.113 0.000
Y1 0.250 0.113 0.595
Y2 0.250 0.379 0.797
Ga1 0.250 0.324 0.297
# - Total magnetic moment: 1.91 Bohr magnetons per cell


Unit: kJ/mol of atoms. Relative energies: P) 1.1; Q) 0.0.


P) # GdYGa4 (PBE, relaxed)
data_GdYGa4
_space_group_name_H-M_alt 'C m c m'
_space_group_IT_number 63
_space_group_name_Hall '-C 2c 2'
_cell_length_a 4.114
_cell_length_b 18.877
_cell_length_c 6.500
_cell_angle_alpha 90.00
_cell_angle_beta 90.00
_cell_angle_gamma 90.00
loop_
_atom_site_label
_atom_site_fract_x
_atom_site_fract_y
_atom_site_fract_z
Gd1 0.000 0.235 0.250
Y1 0.000 0.089 0.750
Ga1 0.000 0.070 0.250
Ga2 0.000 0.356 0.543
Ga3 0.000 0.500 0.000
# - Total magnetic moment: 0.02 Bohr magnetons per cell


Q) # GdYGa4 (PBE, relaxed)
data_GdYGa4
_space_group_name_H-M_alt 'P -6 m 2'
_space_group_IT_number 187
_space_group_name_Hall 'P -6 2'
_cell_length_a 4.3787
_cell_length_b 4.3787
_cell_length_c 7.3830
_cell_angle_alpha 90.00
_cell_angle_beta 90.00
_cell_angle_gamma 120.00
loop_
_atom_site_label
_atom_site_fract_x
_atom_site_fract_y
_atom_site_fract_z
Gd1 0.0000 0.0000 0.0000
Y1 0.0000 0.0000 0.5000
Ga1 0.3333 0.6667 0.2480
Ga2 0.6667 0.3333 0.2547
# - Total magnetic moment: 0.02 Bohr magnetons per cell


Unit: kJ/mol of atoms. Relative energies: P) 6.3; Q) 0.0.


P) # Ho3Ga3Ni2Ge (PBE, relaxed)
data_Ho3Ga3Ni2Ge
_space_group_name_H-M_alt 'P -6 2 m'
_space_group_IT_number 189
_space_group_name_Hall 'P -6 -2'
_cell_length_a 7.8080
_cell_length_b 7.8080
_cell_length_c 3.2945
_cell_angle_alpha 90.00
_cell_angle_beta 90.00
_cell_angle_gamma 120.00
loop_
_atom_site_label
_atom_site_fract_x
_atom_site_fract_y
_atom_site_fract_z
Ho1 0.0000 0.3065 0.0000
Ga1 0.0000 0.6239 0.5000
Ni1 0.3333 0.6667 0.0000
Ge1 0.0000 0.0000 0.5000
# - Total magnetic moment: 0.01 Bohr magnetons per cell


Q) # Ho3Ga3Ni2Ge (PBE, relaxed)
data_Ho3Ga3Ni2Ge
_space_group_name_H-M_alt 'P -6 2 m'
_space_group_IT_number 189
_space_group_name_Hall 'P -6 -2'
_cell_length_a 7.2220
_cell_length_b 7.2220
_cell_length_c 3.7443
_cell_angle_alpha 90.00
_cell_angle_beta 90.00
_cell_angle_gamma 120.00
loop_
_atom_site_label
_atom_site_fract_x
_atom_site_fract_y
_atom_site_fract_z
Ho1 0.0000 0.6006 0.0000
Ga1 0.0000 0.2776 0.5000
Ni1 0.3333 0.6667 0.5000
Ge1 0.0000 0.0000 0.0000
# - Total magnetic moment: 0.00 Bohr magnetons per cell


Unit: kJ/mol of atoms. Relative energies: P) 33.4; Q) 0.0.


P) # GaGeIr (PBE, relaxed)
data_GaGeIr
_space_group_name_H-M_alt 'F -4 3 m'
_space_group_IT_number 216
_space_group_name_Hall 'F -4 2 3'
_cell_length_a 5.913
_cell_length_b 5.913
_cell_length_c 5.913
_cell_angle_alpha 90.00
_cell_angle_beta 90.00
_cell_angle_gamma 90.00
loop_
_atom_site_label
_atom_site_fract_x
_atom_site_fract_y
_atom_site_fract_z
Ga1 0.000 0.000 0.000
Ge1 0.250 0.250 0.250
Ir1 0.000 0.000 0.500
# - Total magnetic moment: 0.00 Bohr magnetons per cell


Q) # GaGeIr (PBE, relaxed)
data_GaGeIr
_space_group_name_H-M_alt 'F -4 3 m'
_space_group_IT_number 216
_space_group_name_Hall 'F -4 2 3'
_cell_length_a 5.963
_cell_length_b 5.963
_cell_length_c 5.963
_cell_angle_alpha 90.00
_cell_angle_beta 90.00
_cell_angle_gamma 90.00
loop_
_atom_site_label
_atom_site_fract_x
_atom_site_fract_y
_atom_site_fract_z
Ga1 0.000 0.000 0.000
Ge1 0.000 0.000 0.500
Ir1 0.250 0.250 0.250
# - Total magnetic moment: 0.00 Bohr magnetons per cell


Unit: kJ/mol of atoms. Relative energies: P) 46.1; Q) 0.0.


P) The following is a DFT calculation (PBE) of a geometry-optimized NaGaGePd structure.

The structure in CIF format:
```
data_NaGaGePd
_space_group_name_H-M_alt 'F -4 3 m'
_space_group_IT_number 216
_space_group_name_Hall 'F -4 2 3'
_cell_length_a 6.538
_cell_length_b 6.538
_cell_length_c 6.538
_cell_angle_alpha 90.00
_cell_angle_beta 90.00
_cell_angle_gamma 90.00
loop_
_atom_site_label
_atom_site_fract_x
_atom_site_fract_y
_atom_site_fract_z
Na1 0.000 0.000 0.000
Ga1 0.000 0.000 0.500
Ge1 0.250 0.250 0.750
Pd1 0.250 0.250 0.250
```


Q) The following is a DFT calculation (PBE) of a geometry-optimized NaGaGePd structure.

The structure in CIF format:
```
data_NaGaGePd
_space_group_name_H-M_alt 'F -4 3 m'
_space_group_IT_number 216
_space_group_name_Hall 'F -4 2 3'
_cell_length_a 6.479
_cell_length_b 6.479
_cell_length_c 6.479
_cell_angle_alpha 90.00
_cell_angle_beta 90.00
_cell_angle_gamma 90.00
loop_
_atom_site_label
_atom_site_fract_x
_atom_site_fract_y
_atom_site_fract_z
Na1 0.000 0.000 0.000
Ga1 0.250 0.250 0.250
Ge1 0.250 0.250 0.750
Pd1 0.000 0.000 0.500
```


Unit: kJ/mol of atoms. Relative energies: P) 8.7; Q) 0.0.


P) # NdGaGePt2 (PBE, relaxed)
data_NdGaGePt2
_space_group_name_H-M_alt 'P 4/n m m'
_space_group_IT_number 129
_cell_length_a 4.327
_cell_length_b 4.327
_cell_length_c 10.344
_cell_angle_alpha 90.00
_cell_angle_beta 90.00
_cell_angle_gamma 90.00
loop_
_space_group_symop_operation_xyz
'x,y,z'
'-x,-y,-z'
'-y+1/2,x,z'
'y+1/2,-x,-z'
'-x+1/2,-y+1/2,z'
'x+1/2,y+1/2,-z'
'y,-x+1/2,z'
'-y,x+1/2,-z'
'x+1/2,-y,-z'
'-x+1/2,y,z'
'-y,-x,-z'
'y,x,z'
'-x,y+1/2,-z'
'x,-y+1/2,z'
'y+1/2,x+1/2,-z'
'-y+1/2,-x+1/2,z'
loop_
_atom_site_label
_atom_site_fract_x
_atom_site_fract_y
_atom_site_fract_z
Nd1 0.250 0.250 0.247
Ga1 0.250 0.750 0.000
Ge1 0.250 0.250 0.631
Pt1 0.250 0.250 0.867
Pt2 0.250 0.750 0.500
# - Total magnetic moment: 0.00 Bohr magnetons per cell


Q) # NdGaGePt2 (PBE, relaxed)
data_NdGaGePt2
_space_group_name_H-M_alt 'P 4/n m m'
_space_group_IT_number 129
_cell_length_a 4.371
_cell_length_b 4.371
_cell_length_c 10.161
_cell_angle_alpha 90.00
_cell_angle_beta 90.00
_cell_angle_gamma 90.00
loop_
_space_group_symop_operation_xyz
'x,y,z'
'-x,-y,-z'
'-y+1/2,x,z'
'y+1/2,-x,-z'
'-x+1/2,-y+1/2,z'
'x+1/2,y+1/2,-z'
'y,-x+1/2,z'
'-y,x+1/2,-z'
'x+1/2,-y,-z'
'-x+1/2,y,z'
'-y,-x,-z'
'y,x,z'
'-x,y+1/2,-z'
'x,-y+1/2,z'
'y+1/2,x+1/2,-z'
'-y+1/2,-x+1/2,z'
loop_
_atom_site_label
_atom_site_fract_x
_atom_site_fract_y
_atom_site_fract_z
Nd1 0.250 0.250 0.245
Ga1 0.250 0.250 0.630
Ge1 0.250 0.750 0.000
Pt1 0.250 0.250 0.875
Pt2 0.250 0.750 0.500
# - Total magnetic moment: 0.00 Bohr magnetons per cell


Unit: kJ/mol of atoms. Relative energies: P) 0.0; Q) 2.6.